Material: K3PuSc2O6
Method: DFT, GGA-PBE
State: optimized geometry

Lattice parameters (Å, degrees): 5.8269 5.8269 6.4984 98.58 98.58 120.00
Atoms (fractional coordinates):
K  0.0000  0.0000  0.0000
K  0.3312  0.6688  0.0000
K  0.6688  0.3312  0.0000
Pu  0.5000  0.5000  0.5000
Sc  0.1666  0.8334  0.5000
Sc  0.8334  0.1666  0.5000
O  0.0878  0.4397  0.3192
O  0.2083  0.2083  0.6812
O  0.4397  0.0878  0.3192
O  0.5603  0.9122  0.6808
O  0.7917  0.7917  0.3188
O  0.9122  0.5603  0.6808

Summary:
Size of the total moment: 0.4167 μB/atom
Formation energy (no corrections): -2590 meV per atom
Density: 5.0 g/cm³
Space group: C2/m